Record 1
CaAc2Ge4Ir3 | PBE | relaxed Values from VASP.

```
&SYSTEM
  ibrav = 0, nat = 10, ntyp = 4
/
ATOMIC_SPECIES
Ca 40.08 Ca.upf
Ac 227.00 Ac.upf
Ge 72.64 Ge.upf
Ir 192.22 Ir.upf
ATOMIC_POSITIONS angstrom
Ca 0.000 0.000 0.000
Ac 0.000 2.231 7.954
Ac 2.231 0.000 2.928
Ge 0.000 0.000 5.441
Ge 0.000 2.231 1.720
Ge 2.231 0.000 9.162
Ge 2.231 2.231 5.441
Ir 0.000 2.231 4.213
Ir 2.231 0.000 6.669
Ir 2.231 2.231 0.000
CELL_PARAMETERS angstrom
4.461 0.000 0.000
0.000 4.461 0.000
0.000 0.000 10.882
```

Energy relative to the elements ... -630 meV per atom
SG ... P-4m2 (115)

Record 2
Cs2BaDyI6 | PBE | relaxed Values from VASP.

```
&SYSTEM
  ibrav = 0, nat = 20, ntyp = 4
/
ATOMIC_SPECIES
Cs 132.91 Cs.upf
Ba 137.33 Ba.upf
Dy 162.50 Dy.upf
I 126.90 I.upf
ATOMIC_POSITIONS angstrom
Cs 2.202 0.439 1.929
Cs 2.202 5.995 1.929
Cs 6.605 6.872 7.511
Cs 6.605 12.429 7.511
Ba 2.202 3.217 6.806
Ba 6.605 9.651 2.634
Dy 2.202 9.651 7.324
Dy 6.605 3.217 2.117
I 0.021 9.651 5.200
I 0.095 9.651 0.098
I 2.202 6.595 7.294
I 2.202 12.706 7.294
I 4.308 9.651 0.098
I 4.382 9.651 5.200
I 4.424 3.217 4.240
I 4.498 3.217 9.342
I 6.605 0.162 2.146
I 6.605 6.272 2.146
I 8.711 3.217 9.342
I 8.785 3.217 4.240
CELL_PARAMETERS angstrom
8.806 0.000 0.000
0.000 12.868 0.000
0.000 0.000 9.440
```

Uncorrected formation energy ... -1.434 eV/atom
SG ... Pmmn (59)

Record 3
LiSmAg3 | PBE | relaxed Values from VASP.

```
&SYSTEM
  ibrav = 0, nat = 20, ntyp = 3
/
ATOMIC_SPECIES
Li 6.94 Li.upf
Sm 150.36 Sm.upf
Ag 107.87 Ag.upf
ATOMIC_POSITIONS angstrom
Li 0.184 0.658 2.529
Li -0.186 2.106 6.309
Li 9.416 3.422 1.252
Li 9.046 4.871 5.032
Sm 3.009 3.554 5.999
Sm 3.379 4.739 2.218
Sm 5.851 0.789 5.343
Sm 6.222 1.975 1.562
Ag 0.925 3.332 3.648
Ag 0.555 4.961 7.428
Ag 1.609 0.519 4.807
Ag 1.980 2.245 1.027
Ag 3.200 0.836 7.189
Ag 3.571 1.929 3.409
Ag 5.660 3.600 4.152
Ag 6.030 4.693 0.372
Ag 7.251 3.284 6.534
Ag 7.621 5.009 2.754
Ag 8.676 0.568 0.133
Ag 8.305 2.197 3.913
CELL_PARAMETERS angstrom
9.971 0.000 0.000
0.000 5.529 0.000
-0.741 0.000 7.561
```

Energy relative to the elements ... -207 meV per atom
Distance to the lowest polymorph of the same formula ... 0 meV/atom
SG ... P2_1/c (14)

Record 4
SrYZr2 | PBE | relaxed Values from VASP.

```
&SYSTEM
  ibrav = 0, nat = 12, ntyp = 3
/
ATOMIC_SPECIES
Sr 87.62 Sr.upf
Y 88.91 Y.upf
Zr 91.22 Zr.upf
ATOMIC_POSITIONS angstrom
Sr 0.000 0.000 0.000
Sr 0.000 1.967 23.112
Sr 1.703 0.983 11.556
Y 0.000 0.000 17.334
Y 0.000 1.967 5.778
Y 1.703 0.983 28.890
Zr 0.000 0.000 8.468
Zr 0.000 0.000 26.200
Zr 0.000 1.967 14.644
Zr 0.000 1.967 31.581
Zr 1.703 0.983 3.088
Zr 1.703 0.983 20.025
CELL_PARAMETERS angstrom
3.406 0.000 0.000
-1.703 2.950 0.000
0.000 0.000 34.669
```

Energy relative to the elements ... 376 meV per atom
Distance to the lowest polymorph of the same formula ... 146 meV/atom
SG ... R-3m (166)

Record 5
Si5W4 | PBE | relaxed Values from VASP.

```
&SYSTEM
  ibrav = 0, nat = 18, ntyp = 2
/
ATOMIC_SPECIES
Si 28.09 Si.upf
W 183.84 W.upf
ATOMIC_POSITIONS angstrom
Si -1.125 1.948 1.277
Si -2.720 4.711 3.832
Si 2.249 0.000 1.277
Si 1.125 1.948 3.832
Si 0.000 4.439 0.000
Si 0.000 4.439 2.555
Si 3.844 2.219 0.000
Si 3.844 2.219 2.555
Si 5.439 0.000 3.832
Si 2.720 4.711 1.277
W 0.000 0.000 0.000
W 0.000 0.000 2.555
W -1.432 2.480 3.832
W -2.412 4.179 1.277
W 2.864 0.000 3.832
W 1.432 2.480 1.277
W 4.825 0.000 1.277
W 2.412 4.179 3.832
CELL_PARAMETERS angstrom
7.689 0.000 0.000
-3.844 6.658 0.000
0.000 0.000 5.109
```

Uncorrected formation energy ... 0.271 eV/atom
Distance to the lowest polymorph of the same formula ... 24 meV/atom
SG ... P6_3/mcm (193)

Record 6
La4HoSb5 | PBE | relaxed Values from VASP.

```
&SYSTEM
  ibrav = 0, nat = 10, ntyp = 3
/
ATOMIC_SPECIES
La 138.91 La.upf
Ho 164.93 Ho.upf
Sb 121.76 Sb.upf
ATOMIC_POSITIONS angstrom
La 7.160 0.996 0.000
La 0.996 3.070 0.000
La 4.119 2.045 3.241
La -2.045 4.119 3.241
Ho 0.000 0.000 3.241
Sb 0.000 0.000 0.000
Sb 4.112 2.125 0.000
Sb 2.990 -1.003 3.241
Sb 2.125 6.118 0.000
Sb 1.003 2.990 3.241
CELL_PARAMETERS angstrom
-5.115 5.115 3.241
5.115 -5.115 3.241
5.115 5.115 -3.241
```

Uncorrected formation energy ... -1.233 eV/atom
SG ... I4/m (87)

Copy entry 2 word for word.
Cs2BaDyI6 | PBE | relaxed Values from VASP.

```
&SYSTEM
  ibrav = 0, nat = 20, ntyp = 4
/
ATOMIC_SPECIES
Cs 132.91 Cs.upf
Ba 137.33 Ba.upf
Dy 162.50 Dy.upf
I 126.90 I.upf
ATOMIC_POSITIONS angstrom
Cs 2.202 0.439 1.929
Cs 2.202 5.995 1.929
Cs 6.605 6.872 7.511
Cs 6.605 12.429 7.511
Ba 2.202 3.217 6.806
Ba 6.605 9.651 2.634
Dy 2.202 9.651 7.324
Dy 6.605 3.217 2.117
I 0.021 9.651 5.200
I 0.095 9.651 0.098
I 2.202 6.595 7.294
I 2.202 12.706 7.294
I 4.308 9.651 0.098
I 4.382 9.651 5.200
I 4.424 3.217 4.240
I 4.498 3.217 9.342
I 6.605 0.162 2.146
I 6.605 6.272 2.146
I 8.711 3.217 9.342
I 8.785 3.217 4.240
CELL_PARAMETERS angstrom
8.806 0.000 0.000
0.000 12.868 0.000
0.000 0.000 9.440
```

Uncorrected formation energy ... -1.434 eV/atom
SG ... Pmmn (59)

Please write out number 5 again, unchanged.
Si5W4 | PBE | relaxed Values from VASP.

```
&SYSTEM
  ibrav = 0, nat = 18, ntyp = 2
/
ATOMIC_SPECIES
Si 28.09 Si.upf
W 183.84 W.upf
ATOMIC_POSITIONS angstrom
Si -1.125 1.948 1.277
Si -2.720 4.711 3.832
Si 2.249 0.000 1.277
Si 1.125 1.948 3.832
Si 0.000 4.439 0.000
Si 0.000 4.439 2.555
Si 3.844 2.219 0.000
Si 3.844 2.219 2.555
Si 5.439 0.000 3.832
Si 2.720 4.711 1.277
W 0.000 0.000 0.000
W 0.000 0.000 2.555
W -1.432 2.480 3.832
W -2.412 4.179 1.277
W 2.864 0.000 3.832
W 1.432 2.480 1.277
W 4.825 0.000 1.277
W 2.412 4.179 3.832
CELL_PARAMETERS angstrom
7.689 0.000 0.000
-3.844 6.658 0.000
0.000 0.000 5.109
```

Uncorrected formation energy ... 0.271 eV/atom
Distance to the lowest polymorph of the same formula ... 24 meV/atom
SG ... P6_3/mcm (193)